The following is a DFT calculation (PBE) of a geometry-optimized BaAcHg4 structure.

a b c (Å): 5.1872 5.1872 9.6680
angles (deg): 73.98 74.01 119.78
With the nearest neighbours (Å) after each atom.
Fractional coordinates of all 6 atoms:
Ba1 0.5013 0.4974 0.9981  12 Hg 3.72-3.77, 2 Ac 4.04
Hg1 0.1117 0.4411 0.7202  3 Hg 2.99-3.00
Ac1 0.0013 0.9973 0.4982  12 Hg 3.48-3.51
Hg2 0.4452 0.1076 0.7201  3 Hg 2.99-3.00
Hg3 0.5574 0.8870 0.2762  3 Hg 2.99-3.00
Hg4 0.8909 0.5535 0.2761  3 Hg 2.99-3.00

Properties
- density of states at the Fermi level (states/eV per cell) = 3.7
- relative energy among the computed polymorphs (meV per atom) = 0
- ρ (g/cm3) = 10.27
- SG = C2/m, No. 12

***

The following is a DFT calculation (PBE) of a geometry-optimized In5I structure.

a b c (Å): 3.6828 5.6156 9.1495
angles (deg): 107.87 90.00 90.00
With the nearest neighbours (Å) after each atom.
Fractional coordinates of all 6 atoms:
I1 0.0000 0.0000 0.0000  8 In 3.36-3.70, 2 I 3.68
In1 0.5000 0.8157 0.6313  10 In 3.29-3.68
In2 0.0000 0.3410 0.6821  10 In 3.29-3.68
In3 0.5000 0.5000 0.0000  6 In 3.32-3.68, 4 I 3.36
In4 0.0000 0.6590 0.3179  10 In 3.29-3.68
In5 0.5000 0.1843 0.3687  10 In 3.29-3.68

Properties
- density of states at the Fermi level (states/eV per cell) = 2.6
- E_form (uncorrected) (eV per atom) = -0.014
- ρ (g/cm3) = 6.46
- SG = Cmmm, No. 65

***

The following is a DFT calculation (PBE) of a geometry-optimized Ga2HAu structure.

a b c (Å): 3.7356 3.7356 6.7788
angles (deg): 74.01 74.01 60.00
With the nearest neighbours (Å) after each atom.
Fractional coordinates of all 4 atoms:
H1 0.0000 0.0000 0.0000  2 Ga 1.75
Ga1 0.0907 0.0907 0.7278  1 H 1.75
Au1 0.5000 0.5000 0.5000  6 Ga 2.61
Ga2 0.9093 0.9093 0.2722  1 H 1.75

Properties
- density of states at the Fermi level (states/eV per cell) = 0.7
- relative energy among the computed polymorphs (meV per atom) = 0
- ρ (g/cm3) = 7.21
- SG = R-3m, No. 166

***

The following is a DFT calculation (PBE) of a geometry-optimized AlCd2Tc structure.

a b c (Å): 4.2061 2.8382 6.2033
angles (deg): 76.89 90.00 90.00
With the nearest neighbours (Å) after each atom.
Fractional coordinates of all 4 atoms:
Cd1 0.0000 0.8132 0.9993  2 Al 2.81, 6 Cd 2.84-2.96, 2 Tc 3.02
Tc1 0.0000 0.5319 0.5585  4 Al 2.66, 2 Tc 2.84
Al1 0.5000 0.9670 0.6907  3 Cd 2.65-2.81, 4 Tc 2.66, 2 Al 2.84
Cd2 0.5000 0.1879 0.2516  1 Al 2.65, 6 Cd 2.84-2.96

Properties
- electronic total energy (eV per atom) = -3.84
- density of states at the Fermi level (states/eV per cell) = 2.0
- ρ (g/cm3) = 8.05
- SG = Pm, No. 6

***

The following is a DFT calculation (PBE) of a geometry-optimized NiBiSb2 structure.

a b c (Å): 3.9424 3.9424 7.6893
angles (deg): 75.15 75.15 60.00
With the nearest neighbours (Å) after each atom.
Fractional coordinates of all 4 atoms:
Sb1 0.2760 0.2760 0.1721  3 Ni 2.57
Bi1 0.5038 0.5038 0.4886  6 Sb 3.25-3.39, 1 Ni 3.52
Sb2 0.0565 0.0565 0.8304  3 Ni 2.63
Ni1 0.6637 0.6637 0.0089  6 Sb 2.57-2.63

Properties
- density of states at the Fermi level (states/eV per cell) = 2.0
- E_form (uncorrected) (eV per atom) = 0.002
- ρ (g/cm3) = 8.59
- SG = R3m, No. 160

***

The following is a DFT calculation (PBE) of a geometry-optimized YAs2Ru structure.

a b c (Å): 6.7093 6.7093 6.7093
angles (deg): 151.67 146.87 44.14
With the nearest neighbours (Å) after each atom.
Fractional coordinates of all 4 atoms:
As1 0.6905 0.1905 0.5000  2 Ru 2.48
Ru1 0.5407 0.5407 0.0000  6 As 2.48-2.66
As2 0.9715 0.9715 0.0000  4 Ru 2.66, 2 Y 2.89
Y1 0.2973 0.7973 0.5000  6 As 2.85-2.89

Properties
- density of states at the Fermi level (states/eV per cell) = 2.3
- relative energy among the computed polymorphs (meV per atom) = 156
- ρ (g/cm3) = 7.22
- SG = Imm2, No. 44

***

The following is a DFT calculation (PBE) of a geometry-optimized Eu2MgSi structure.

a b c (Å): 3.6556 3.6556 11.3272
angles (deg): 80.71 80.71 60.00
With the nearest neighbours (Å) after each atom.
Fractional coordinates of all 4 atoms:
Eu1 0.1035 0.1035 0.6896  3 Si 2.98
Si1 0.5000 0.5000 0.5000  6 Eu 2.98
Mg1 0.0000 0.0000 0.0000  2 Eu 3.45, 6 Mg 3.66
Eu2 0.8965 0.8965 0.3104  3 Si 2.98

Properties
- density of states at the Fermi level (states/eV per cell) = 2.3
- E_form (uncorrected) (eV per atom) = 0.091
- ρ (g/cm3) = 4.59
- SG = R-3m, No. 166

***

The following is a DFT calculation (PBE) of a geometry-optimized Rb2LiReCl6 structure.

a b c (Å): 7.4664 7.4664 6.9676
angles (deg): 57.60 57.60 90.00
With the nearest neighbours (Å) after each atom.
Fractional coordinates of all 10 atoms:
Cl1 0.7706 0.2294 0.0000  1 Re 2.42
Cl2 0.7706 0.7706 0.0000  1 Re 2.42
Rb1 0.7500 0.2500 0.5000  12 Cl 3.49-3.73
Cl3 0.2294 0.7706 0.0000  1 Re 2.42
Li1 0.5000 0.5000 0.0000  2 Cl 2.19
Re1 0.0000 0.0000 0.0000  6 Cl 2.35-2.42
Cl4 0.2588 0.2588 0.4825  1 Li 2.19, 1 Re 2.35
Cl5 0.2294 0.2294 0.0000  1 Re 2.42
Cl6 0.7412 0.7412 0.5175  1 Li 2.19, 1 Re 2.35
Rb2 0.2500 0.7500 0.5000  12 Cl 3.49-3.73

Properties
- density of states at the Fermi level (states/eV per cell) = 5.5
- E_form (uncorrected) (eV per atom) = -1.256
- ρ (g/cm3) = 3.78
- SG = I4/mmm, No. 139